[1]
Here is SiPIr2 after structural relaxation from Alexandria via LeMat-Bulk. Energies are from PBE-GGA.

Its total energy is -7.142 eV per atom. The value obtained for the energy above the most stable polymorph in this dataset is 0.364 eV/atom. The value obtained for the formation energy (no corrections) is -3.6 meV per atom.

The space group is Fm-3m (No. 225) and the conventional cell measures 6.0367, 6.0367 and 6.0367 Å, with angles of 90.00, 90.00 and 90.00 degrees. The distinct sites, in fractional coordinates, are Si at (0.0000, 0.0000, 0.0000), P at (0.0000, 0.0000, 0.5000) and Ir at (0.2500, 0.2500, 0.2500).

=====

[2]
Here is Nd3Dy6Ho2Er after structural relaxation from Alexandria via LeMat-Bulk. Energies are from PBE-GGA.

Its total energy is -4.618 eV per atom. The value obtained for the formation energy is 0.019 eV per atom.

The space group is C2/m (No. 12) and the conventional cell measures 6.1890, 10.7146 and 11.8157 Å, with angles of 90.00, 100.02 and 90.00 degrees. The distinct sites, in fractional coordinates, are Nd at (0.0000, 0.0000, 0.0000), Nd at (0.0000, 0.3332, 0.0000), Dy at (0.2489, 0.0000, 0.7457), Dy at (0.2487, 0.3334, 0.7456), Ho at (0.0000, 0.1666, 0.5000) and Er at (0.0000, 0.5000, 0.5000).

=====

[3]
Here is ReRh after structural relaxation from Alexandria via LeMat-Bulk. Energies are from PBE-GGA.

Its total energy is -9.525 eV per atom. The value obtained for the energy above the most stable polymorph in this dataset is 0.552 eV/atom. The value obtained for the formation energy is 0.375 eV per atom.

The space group is I4/m (No. 87) and the conventional cell measures 9.5988, 9.5988 and 2.7400 Å, with angles of 90.00, 90.00 and 90.00 degrees. The distinct sites, in fractional coordinates, are Re at (0.1005, 0.3604, 0.0000) and Rh at (0.1002, 0.8314, 0.0000).

=====

[4]
Here is Nd4MgRh after structural relaxation from Alexandria via LeMat-Bulk. Energies are from PBE-GGA.

Its total energy is -5.013 eV per atom. The value obtained for the energy above the most stable polymorph in this dataset is 0.000 eV/atom. The value obtained for the formation energy is -0.344 eV per atom.

The space group is F-43m (No. 216) and the conventional cell measures 14.1575, 14.1575 and 14.1575 Å, with angles of 90.00, 90.00 and 90.00 degrees. The distinct sites, in fractional coordinates, are Nd at (0.0000, 0.0000, 0.1868), Nd at (0.0620, 0.2500, 0.2500), Nd at (0.0973, 0.0973, 0.5973), Mg at (0.1709, 0.1709, 0.8291) and Rh at (0.1078, 0.1078, 0.3922).